# Ba8Sc3Pt4O18

Ba8Sc3Pt4O18 after structural relaxation (PBEsol, the Alexandria database).

Space group ... Pm-3m, No. 221

Unit cell a=8.1527 b=8.1527 c=8.1527 alpha=90.00 beta=90.00 gamma=90.00
With the nearest neighbours (Å) after each atom.
Fractional coordinates of all 33 atoms:
1 Ba 0.7605 0.2395 0.2395  9 O 2.76-2.89
2 Ba 0.7605 0.2395 0.7605  9 O 2.76-2.89
3 Ba 0.2395 0.2395 0.7605  9 O 2.76-2.89
4 Ba 0.2395 0.2395 0.2395  9 O 2.76-2.89
5 Ba 0.2395 0.7605 0.2395  9 O 2.76-2.89
6 Ba 0.2395 0.7605 0.7605  9 O 2.76-2.89
7 Ba 0.7605 0.7605 0.2395  9 O 2.76-2.89
8 Ba 0.7605 0.7605 0.7605  9 O 2.76-2.89
9 O 0.5000 0.0000 0.7449  1 Pt 2.00, 1 Sc 2.08
10 O 0.0000 0.7551 0.0000  1 Pt 2.00, 1 Sc 2.08
11 O 0.7449 0.0000 0.5000  1 Pt 2.00, 1 Sc 2.08
12 O 0.5000 0.2551 0.0000  1 Pt 2.00, 1 Sc 2.08
13 O 0.0000 0.0000 0.2449  1 Pt 2.00, 1 Sc 2.08
14 O 0.0000 0.5000 0.7449  1 Pt 2.00, 1 Sc 2.08
15 O 0.0000 0.2449 0.0000  1 Pt 2.00, 1 Sc 2.08
16 O 0.7449 0.5000 0.0000  1 Pt 2.00, 1 Sc 2.08
17 O 0.0000 0.0000 0.7551  1 Pt 2.00, 1 Sc 2.08
18 O 0.2449 0.0000 0.0000  1 Pt 2.00, 1 Sc 2.08
19 O 0.0000 0.7449 0.5000  1 Pt 2.00, 1 Sc 2.08
20 O 0.5000 0.7449 0.0000  1 Pt 2.00, 1 Sc 2.08
21 O 0.2551 0.5000 0.0000  1 Pt 2.00, 1 Sc 2.08
22 O 0.2551 0.0000 0.5000  1 Pt 2.00, 1 Sc 2.08
23 O 0.0000 0.2551 0.5000  1 Pt 2.00, 1 Sc 2.08
24 O 0.7551 0.0000 0.0000  1 Pt 2.00, 1 Sc 2.08
25 O 0.0000 0.5000 0.2551  1 Pt 2.00, 1 Sc 2.08
26 O 0.5000 0.0000 0.2551  1 Pt 2.00, 1 Sc 2.08
27 Sc 0.0000 0.5000 0.0000  6 O 2.08
28 Sc 0.0000 0.0000 0.5000  6 O 2.08
29 Sc 0.5000 0.0000 0.0000  6 O 2.08
30 Pt 0.5000 0.0000 0.5000  4 O 2.00
31 Pt 0.0000 0.5000 0.5000  4 O 2.00
32 Pt 0.5000 0.5000 0.0000  4 O 2.00
33 Pt 0.0000 0.0000 0.0000  6 O 2.00


# BaSm2PtO5

BaSm2PtO5 after structural relaxation (PBEsol, the Alexandria database).

Space group ... P4/mbm, No. 127

Unit cell a=5.8794 b=6.6448 c=6.6448 alpha=90.00 beta=90.00 gamma=90.00
With the nearest neighbours (Å) after each atom.
Fractional coordinates of all 18 atoms:
1 O 0.7436 0.3603 0.1397  1 Pt 2.00
2 O 0.2564 0.3603 0.1397  1 Pt 2.00
3 O 0.2564 0.6397 0.8603  1 Pt 2.00
4 O 0.7436 0.1397 0.6397  1 Pt 2.00
5 O 0.7436 0.8603 0.3603  1 Pt 2.00
6 O 0.5000 0.0000 0.0000  4 Sm 2.46
7 O 0.7436 0.6397 0.8603  1 Pt 2.00
8 O 0.2564 0.1397 0.6397  1 Pt 2.00
9 O 0.2564 0.8603 0.3603  1 Pt 2.00
10 O 0.5000 0.5000 0.5000  4 Sm 2.46
11 Pt 0.0000 0.5000 0.0000  4 O 2.00
12 Pt 0.0000 0.0000 0.5000  4 O 2.00
13 Sm 0.5000 0.8265 0.6735  8 O 2.27-2.54
14 Sm 0.5000 0.3265 0.8265  8 O 2.27-2.54
15 Sm 0.5000 0.1735 0.3265  8 O 2.27-2.54
16 Sm 0.5000 0.6735 0.1735  8 O 2.27-2.54
17 Ba 0.0000 0.5000 0.5000  10 O 2.94-2.98
18 Ba 0.0000 0.0000 0.0000  10 O 2.94-2.98


# Ba6Ti5PtO18

Ba6Ti5PtO18 after structural relaxation (PBEsol, the Alexandria database).

Space group ... P3m1, No. 156

Unit cell a=5.7130 b=5.7130 c=14.0369 alpha=90.00 beta=90.00 gamma=120.00
With the nearest neighbours (Å) after each atom.
Fractional coordinates of all 30 atoms:
1 O 0.8301 0.6603 0.5752  1 Ti 1.90, 1 Pt 2.04
2 O 0.9988 0.4994 0.4157  2 Ti 1.89-2.06
3 O 0.8331 0.1669 0.9182  2 Ti 1.89-2.06
4 O 0.5006 0.0012 0.4157  2 Ti 1.89-2.06
5 O 0.8331 0.6662 0.9182  2 Ti 1.89-2.06
6 O 0.6340 0.8170 0.2471  2 Ti 1.92-2.09
7 O 0.5021 0.0041 0.0782  2 Ti 1.91-2.03
8 O 0.8301 0.1699 0.5752  1 Ti 1.90, 1 Pt 2.04
9 O 0.3338 0.1669 0.9182  2 Ti 1.89-2.06
10 O 0.3397 0.1699 0.5752  1 Ti 1.90, 1 Pt 2.04
11 O 0.1522 0.3044 0.7496  1 Pt 1.99, 1 Ti 2.09
12 O 0.9959 0.4979 0.0782  2 Ti 1.91-2.03
13 O 0.1522 0.8478 0.7496  1 Pt 1.99, 1 Ti 2.09
14 O 0.5006 0.4994 0.4157  2 Ti 1.89-2.06
15 O 0.6956 0.8478 0.7496  1 Pt 1.99, 1 Ti 2.09
16 O 0.1830 0.8170 0.2471  2 Ti 1.92-2.09
17 O 0.5021 0.4979 0.0782  2 Ti 1.91-2.03
18 O 0.1830 0.3660 0.2471  2 Ti 1.92-2.09
19 Ba 0.3333 0.6667 0.5975  12 O 2.79-3.04
20 Ba 0.3333 0.6667 0.9095  12 O 2.86-2.90
21 Ba 0.6667 0.3333 0.2524  12 O 2.82-2.94
22 Ba 0.0000 0.0000 0.4057  12 O 2.86-2.91
23 Ba 0.6667 0.3333 0.7523  12 O 2.85-2.97
24 Ba 0.0000 0.0000 0.0985  12 O 2.76-3.02
25 Ti 0.6667 0.3333 0.5042  6 O 1.90-2.06
26 Ti 0.6667 0.3333 0.0064  6 O 1.91-2.06
27 Ti 0.0000 0.0000 0.8527  6 O 1.89-2.09
28 Ti 0.3333 0.6667 0.1606  6 O 1.92-2.03
29 Ti 0.3333 0.6667 0.3513  6 O 1.89-2.09
30 Pt 0.0000 0.0000 0.6571  6 O 1.99-2.04


# Ba2PuTaO6

Ba2PuTaO6 after structural relaxation (PBEsol, the Alexandria database).

Space group ... Fm-3m, No. 225

Unit cell a=6.0130 b=6.0130 c=6.0130 alpha=60.00 beta=60.00 gamma=60.00
With the nearest neighbours (Å) after each atom.
Fractional coordinates of all 10 atoms:
1 Ba 0.7500 0.7500 0.7500  12 O 3.01
2 Ba 0.2500 0.2500 0.2500  12 O 3.01
3 O 0.7357 0.7357 0.2643  1 Ta 2.00
4 O 0.2643 0.7357 0.7357  1 Ta 2.00
5 O 0.2643 0.7357 0.2643  1 Ta 2.00
6 O 0.7357 0.2643 0.2643  1 Ta 2.00
7 O 0.2643 0.2643 0.7357  1 Ta 2.00
8 O 0.7357 0.2643 0.7357  1 Ta 2.00
9 Pu 0.0000 0.0000 0.0000  6 O 2.25
10 Ta 0.5000 0.5000 0.5000  6 O 2.00


# Ba2PuTiO6

Ba2PuTiO6 after structural relaxation (PBEsol, the Alexandria database).

Space group ... Fm-3m, No. 225

Unit cell a=5.8830 b=5.8830 c=5.8830 alpha=60.00 beta=60.00 gamma=60.00
With the nearest neighbours (Å) after each atom.
Fractional coordinates of all 10 atoms:
1 O 0.7616 0.2384 0.7616  1 Ti 1.98, 1 Pu 2.18
2 O 0.7616 0.2384 0.2384  1 Ti 1.98, 1 Pu 2.18
3 O 0.2384 0.7616 0.7616  1 Ti 1.98, 1 Pu 2.18
4 O 0.7616 0.7616 0.2384  1 Ti 1.98, 1 Pu 2.18
5 O 0.2384 0.2384 0.7616  1 Ti 1.98, 1 Pu 2.18
6 O 0.2384 0.7616 0.2384  1 Ti 1.98, 1 Pu 2.18
7 Ba 0.2500 0.2500 0.2500  12 O 2.94
8 Ba 0.7500 0.7500 0.7500  12 O 2.94
9 Pu 0.5000 0.5000 0.5000  6 O 2.18
10 Ti 0.0000 0.0000 0.0000  6 O 1.98


# Ba2PuZnO6

Ba2PuZnO6 after structural relaxation (PBEsol, the Alexandria database).

Space group ... Fm-3m, No. 225

Unit cell a=5.8784 b=5.8784 c=5.8784 alpha=60.00 beta=60.00 gamma=60.00
With the nearest neighbours (Å) after each atom.
Fractional coordinates of all 10 atoms:
1 O 0.2530 0.7470 0.2530  1 Pu 2.05, 1 Zn 2.10
2 O 0.7470 0.2530 0.7470  1 Pu 2.05, 1 Zn 2.10
3 O 0.7470 0.7470 0.2530  1 Pu 2.05, 1 Zn 2.10
4 O 0.2530 0.7470 0.7470  1 Pu 2.05, 1 Zn 2.10
5 O 0.7470 0.2530 0.2530  1 Pu 2.05, 1 Zn 2.10
6 O 0.2530 0.2530 0.7470  1 Pu 2.05, 1 Zn 2.10
7 Pu 0.5000 0.5000 0.5000  6 O 2.05
8 Zn 0.0000 0.0000 0.0000  6 O 2.10
9 Ba 0.7500 0.7500 0.7500  12 O 2.94
10 Ba 0.2500 0.2500 0.2500  12 O 2.94


# RbBaO3

RbBaO3 after structural relaxation (PBEsol, the Alexandria database).

Space group ... Pm-3m, No. 221

Unit cell a=4.6296 b=4.6296 c=4.6296 alpha=90.00 beta=90.00 gamma=90.00
With the nearest neighbours (Å) after each atom.
Fractional coordinates of all 5 atoms:
1 Rb 0.5000 0.5000 0.5000  12 O 3.27
2 Ba 0.0000 0.0000 0.0000  6 O 2.31
3 O 0.0000 0.5000 0.0000  2 Ba 2.31
4 O 0.5000 0.0000 0.0000  2 Ba 2.31
5 O 0.0000 0.0000 0.5000  2 Ba 2.31


# RbBaScSi3O9

RbBaScSi3O9 after structural relaxation (PBEsol, the Alexandria database).

Space group ... P2_1/c, No. 14

Unit cell a=6.9592 b=10.2422 c=11.8425 alpha=90.00 beta=89.90 gamma=90.00
With the nearest neighbours (Å) after each atom.
Fractional coordinates of all 60 atoms:
1 O 0.1490 0.3881 0.9112  1 Si 1.62
2 O 0.3510 0.8881 0.5888  1 Si 1.62
3 O 0.0939 0.7127 0.5053  2 Si 1.66-1.68
4 O 0.5064 0.6297 0.2342  1 Si 1.61
5 O 0.8706 0.6271 0.3464  1 Si 1.60
6 O 0.4944 0.1058 0.7046  1 Si 1.61
7 O 0.4061 0.2127 0.9947  2 Si 1.66-1.68
8 O 0.3030 0.2503 0.2085  2 Si 1.67-1.68
9 O 0.6970 0.7497 0.7915  2 Si 1.67-1.68
10 O 0.4176 0.6064 0.8902  1 Si 1.62
11 O 0.8030 0.2497 0.7085  2 Si 1.67-1.68
12 O 0.6294 0.1271 0.1536  1 Si 1.60
13 O 0.4936 0.3703 0.7658  1 Si 1.61
14 O 0.1294 0.3729 0.6536  1 Si 1.60
15 O 0.5385 0.2961 0.5501  2 Si 1.66-1.68
16 O 0.9176 0.8936 0.3902  1 Si 1.62
17 O 0.3706 0.8729 0.8464  1 Si 1.60
18 O 0.6490 0.1119 0.4112  1 Si 1.62
19 O 0.9936 0.1297 0.2658  1 Si 1.61
20 O 0.8510 0.6119 0.0888  1 Si 1.62
21 O 0.5939 0.7873 0.0053  2 Si 1.66-1.68
22 O 0.3593 0.6257 0.6502  1 Si 1.60
23 O 0.5056 0.8942 0.2954  1 Si 1.61
24 O 0.6407 0.3743 0.3498  1 Si 1.60
25 O 0.1970 0.7503 0.2915  2 Si 1.67-1.68
26 O 0.0064 0.8703 0.7342  1 Si 1.61
27 O 0.9615 0.7961 0.9499  2 Si 1.66-1.68
28 O 0.9061 0.2873 0.4947  2 Si 1.66-1.68
29 O 0.8593 0.8743 0.1502  1 Si 1.60
30 O 0.5824 0.3936 0.1098  1 Si 1.62
31 O 0.0385 0.2039 0.0501  2 Si 1.66-1.68
32 O 0.9944 0.3942 0.2046  1 Si 1.61
33 O 0.0824 0.1064 0.6098  1 Si 1.62
34 O 0.0056 0.6058 0.7954  1 Si 1.61
35 O 0.4615 0.7039 0.4499  2 Si 1.66-1.68
36 O 0.1407 0.1257 0.8498  1 Si 1.60
37 Sc 0.2432 0.9964 0.7336  6 O 2.04-2.17
38 Sc 0.7432 0.5036 0.2336  6 O 2.04-2.17
39 Sc 0.2568 0.4964 0.7664  6 O 2.04-2.17
40 Sc 0.7568 0.0036 0.2664  6 O 2.04-2.17
41 Si 0.9353 0.7539 0.8154  4 O 1.61-1.68
42 Si 0.1879 0.2356 0.9413  4 O 1.60-1.68
43 Si 0.3121 0.7356 0.5587  4 O 1.60-1.68
44 Si 0.0647 0.2461 0.1846  4 O 1.61-1.68
45 Si 0.0066 0.7478 0.3768  4 O 1.60-1.68
46 Si 0.8121 0.7644 0.0587  4 O 1.60-1.68
47 Si 0.4353 0.7461 0.3154  4 O 1.61-1.68
48 Si 0.5647 0.2539 0.6846  4 O 1.61-1.68
49 Si 0.5066 0.7522 0.8768  4 O 1.60-1.68
50 Si 0.9934 0.2522 0.6232  4 O 1.60-1.68
51 Si 0.6879 0.2644 0.4413  4 O 1.60-1.68
52 Si 0.4934 0.2478 0.1232  4 O 1.60-1.68
53 Ba 0.7595 0.4422 0.9122  6 O 2.64-2.93
54 Ba 0.2405 0.5578 0.0878  6 O 2.64-2.93
55 Ba 0.2595 0.0578 0.4122  6 O 2.64-2.93
56 Ba 0.7405 0.9422 0.5878  6 O 2.64-2.93
57 Rb 0.2544 0.9467 0.0780  8 O 2.96-3.25
58 Rb 0.7456 0.0533 0.9220  8 O 2.96-3.25
59 Rb 0.2456 0.4467 0.4220  8 O 2.96-3.25
60 Rb 0.7544 0.5533 0.5780  8 O 2.96-3.25


# BaReO2

BaReO2 after structural relaxation (PBEsol, the Alexandria database).

Space group ... R-3m, No. 166

Unit cell a=3.5120 b=3.5120 c=6.4099 alpha=74.10 beta=74.10 gamma=60.00
With the nearest neighbours (Å) after each atom.
Fractional coordinates of all 4 atoms:
1 Ba 0.0000 0.0000 0.0000  2 O 2.54
2 Re 0.5000 0.5000 0.5000  6 O 2.09
3 O 0.1391 0.1391 0.5826  3 Re 2.09, 3 O 2.26
4 O 0.8609 0.8609 0.4174  3 Re 2.09, 3 O 2.26


# Ba5Re3O16

Ba5Re3O16 after structural relaxation (PBEsol, the Alexandria database).

Space group ... P6_3cm, No. 185

Unit cell a=7.8741 b=10.8536 c=10.8536 alpha=120.00 beta=90.00 gamma=90.00
With the nearest neighbours (Å) after each atom.
Fractional coordinates of all 48 atoms:
1 Re 0.7087 0.0000 0.3879  5 O 1.76-1.85
2 Re 0.7087 0.3879 0.0000  5 O 1.76-1.85
3 Re 0.2087 0.3879 0.3879  5 O 1.76-1.85
4 Re 0.2087 0.0000 0.6121  5 O 1.76-1.85
5 Re 0.7087 0.6121 0.6121  5 O 1.76-1.85
6 Re 0.2087 0.6121 0.0000  5 O 1.76-1.85
7 O 0.3848 0.2884 0.2884  1 Re 1.76
8 O 0.2500 0.4436 0.5764  1 Re 1.85
9 O 0.2500 0.5764 0.4436  1 Re 1.85
10 O 0.3848 0.0000 0.7116  1 Re 1.76
11 O 0.2500 0.5564 0.1328  1 Re 1.85
12 O 0.7500 0.5764 0.1328  1 Re 1.85
13 O 0.8848 0.2884 0.0000  1 Re 1.76
14 O 0.2500 0.8672 0.4236  1 Re 1.85
15 O 0.8848 0.7116 0.7116  1 Re 1.76
16 O 0.3848 0.7116 0.0000  1 Re 1.76
17 O 0.7500 0.1328 0.5764  1 Re 1.85
18 O 0.0654 0.7468 0.1335  1 Re 1.84
19 O 0.0654 0.8665 0.6133  1 Re 1.84
20 O 0.0654 0.1335 0.7468  1 Re 1.84
21 O 0.2500 0.4236 0.8672  1 Re 1.85
22 O 0.5654 0.2532 0.8665  1 Re 1.84
23 O 0.5654 0.6133 0.7468  1 Re 1.84
24 O 0.7500 0.5564 0.4236  1 Re 1.85
25 O 0.5654 0.8665 0.2532  1 Re 1.84
26 O 0.5654 0.1335 0.3867  1 Re 1.84
27 O 0.7500 0.4436 0.8672  1 Re 1.85
28 O 0.2303 0.0000 0.0000  3 Ba 2.85
29 O 0.8848 0.0000 0.2884  1 Re 1.76
30 O 0.0654 0.3867 0.2532  1 Re 1.84
31 O 0.7500 0.8672 0.4436  1 Re 1.85
32 O 0.0654 0.2532 0.3867  1 Re 1.84
33 O 0.7500 0.4236 0.5564  1 Re 1.85
34 O 0.5654 0.7468 0.6133  1 Re 1.84
35 O 0.5654 0.3867 0.1335  1 Re 1.84
36 O 0.0654 0.6133 0.8665  1 Re 1.84
37 O 0.7303 0.0000 0.0000  3 Ba 2.85
38 O 0.2500 0.1328 0.5564  1 Re 1.85
39 Ba 0.0040 0.3333 0.6667  9 O 2.70-2.75
40 Ba 0.7619 0.0000 0.7380  8 O 2.77-2.98
41 Ba 0.2619 0.2620 0.0000  8 O 2.77-2.98
42 Ba 0.7619 0.7380 0.0000  8 O 2.77-2.98
43 Ba 0.5040 0.3333 0.6667  9 O 2.70-2.75
44 Ba 0.2619 0.7380 0.7380  8 O 2.77-2.98
45 Ba 0.5040 0.6667 0.3333  9 O 2.70-2.75
46 Ba 0.0040 0.6667 0.3333  9 O 2.70-2.75
47 Ba 0.2619 0.0000 0.2620  8 O 2.77-2.98
48 Ba 0.7619 0.2620 0.2620  8 O 2.77-2.98


# Ba10Re3O22

Ba10Re3O22 after structural relaxation (PBEsol, the Alexandria database).

Space group ... C2/m, No. 12

Unit cell a=5.7402 b=9.9622 c=10.4083 alpha=94.54 beta=106.01 gamma=90.00
With the nearest neighbours (Å) after each atom.
Fractional coordinates of all 35 atoms:
1 O 0.0248 0.8541 0.5704  1 Re 1.85
2 O 0.0469 0.5886 0.0938  1 O 2.47, 2 Ba 2.47-2.52
3 O 0.8001 0.6254 0.6002  1 Re 1.91
4 O 0.4237 0.6346 0.8474  5 Ba 2.67-2.88
5 O 0.3309 0.1224 0.6618  1 Re 1.88
6 O 0.9531 0.4114 0.9062  1 O 2.47, 2 Ba 2.47-2.52
7 O 0.1999 0.3746 0.3998  1 Re 1.91
8 O 0.5456 0.8541 0.5704  1 Re 1.85
9 O 0.6691 0.8776 0.3382  1 Re 1.88
10 O 0.5763 0.3654 0.1526  5 Ba 2.67-2.88
11 O 0.9115 0.9180 0.8230  1 Re 1.89
12 O 0.2096 0.1217 0.9521  1 Re 1.90
13 O 0.7426 0.1217 0.9521  1 Re 1.90
14 O 0.0853 0.3460 0.6239  1 Re 1.93
15 O 0.4615 0.6540 0.3761  1 Re 1.93
16 O 0.0885 0.0820 0.1770  1 Re 1.89
17 O 0.5385 0.3460 0.6239  1 Re 1.93
18 O 0.7904 0.8783 0.0479  1 Re 1.90
19 O 0.4544 0.1459 0.4296  1 Re 1.85
20 O 0.9147 0.6540 0.3761  1 Re 1.93
21 O 0.9752 0.1459 0.4296  1 Re 1.85
22 O 0.2574 0.8783 0.0479  1 Re 1.90
23 Ba 0.8268 0.1107 0.6537  9 O 2.66-2.96
24 Ba 0.9308 0.6571 0.8615  4 O 2.47-2.66
25 Ba 0.0692 0.3429 0.1385  4 O 2.47-2.66
26 Ba 0.4069 0.9149 0.8138  10 O 2.67-2.88
27 Ba 0.5931 0.0851 0.1862  10 O 2.67-2.88
28 Ba 0.1732 0.8893 0.3463  9 O 2.66-2.96
29 Ba 0.4339 0.3370 0.8678  9 O 2.77-2.99
30 Ba 0.5661 0.6630 0.1322  9 O 2.77-2.99
31 Ba 0.2905 0.5895 0.5810  8 O 2.67-2.90
32 Ba 0.7095 0.4105 0.4190  8 O 2.67-2.90
33 Re 0.7393 0.7629 0.4786  6 O 1.85-1.93
34 Re 0.0000 0.0000 0.0000  6 O 1.89-1.90
35 Re 0.2607 0.2371 0.5214  6 O 1.85-1.93


# Ba2ReO5

Ba2ReO5 after structural relaxation (PBEsol, the Alexandria database).

Space group ... Pnma, No. 62

Unit cell a=5.6883 b=7.3043 c=11.5397 alpha=90.00 beta=90.00 gamma=90.00
With the nearest neighbours (Å) after each atom.
Fractional coordinates of all 32 atoms:
1 O 0.5107 0.8239 0.3829  1 Re 1.88
2 O 0.0000 0.5000 0.5000  2 Re 2.02
3 O 0.0107 0.6761 0.8829  1 Re 1.88
4 O 0.5107 0.3239 0.1171  1 Re 1.88
5 O 0.9893 0.3239 0.1171  1 Re 1.88
6 O 0.7500 0.5172 0.3066  1 Re 1.86
7 O 0.2500 0.7190 0.0890  1 Re 1.94
8 O 0.0000 0.0000 0.0000  2 Re 2.02
9 O 0.9893 0.8239 0.3829  1 Re 1.88
10 O 0.2500 0.9828 0.8066  1 Re 1.86
11 O 0.7500 0.0172 0.1934  1 Re 1.86
12 O 0.0107 0.1761 0.6171  1 Re 1.88
13 O 0.5000 0.0000 0.0000  2 Re 2.02
14 O 0.7500 0.2810 0.9110  1 Re 1.94
15 O 0.5000 0.5000 0.5000  2 Re 2.02
16 O 0.4893 0.6761 0.8829  1 Re 1.88
17 O 0.7500 0.7810 0.5890  1 Re 1.94
18 O 0.2500 0.4828 0.6934  1 Re 1.86
19 O 0.4893 0.1761 0.6171  1 Re 1.88
20 O 0.2500 0.2190 0.4110  1 Re 1.94
21 Ba 0.7500 0.6628 0.0801  10 O 2.72-2.99
22 Ba 0.7500 0.1628 0.4199  10 O 2.72-2.99
23 Ba 0.7500 0.4776 0.7154  10 O 2.65-2.89
24 Ba 0.7500 0.9776 0.7846  10 O 2.65-2.89
25 Ba 0.2500 0.5224 0.2846  10 O 2.65-2.89
26 Ba 0.2500 0.3372 0.9199  10 O 2.72-2.99
27 Ba 0.2500 0.0224 0.2154  10 O 2.65-2.89
28 Ba 0.2500 0.8372 0.5801  10 O 2.72-2.99
29 Re 0.2500 0.8314 0.9365  6 O 1.86-2.02
30 Re 0.2500 0.3314 0.5635  6 O 1.86-2.02
31 Re 0.7500 0.6686 0.4365  6 O 1.86-2.02
32 Re 0.7500 0.1686 0.0635  6 O 1.86-2.02


ΔE_f (raw): -225.7; -259.0; -277.8; -283.2; -291.3; -244.1; -75.2; -285.0; -83.9; -212.1; -215.8; -225.5 (kJ/mol of atoms)